1.
In3HgPd6: relaxed, PBE.

a = 4.758 Å, b = 7.758 Å, c = 10.161 Å
α = 111.74°, β = 90.00°, γ = 90.00°
Element x y z (fractional)
In 0.250 0.538 0.380
In 0.750 0.462 0.620
In 0.250 0.359 0.788
In 0.750 0.641 0.212
In 0.250 0.783 0.986
In 0.750 0.217 0.014
Hg 0.250 0.950 0.587
Hg 0.750 0.050 0.413
Pd 0.250 0.461 0.079
Pd 0.750 0.539 0.921
Pd 0.250 0.156 0.182
Pd 0.750 0.844 0.818
Pd 0.250 0.655 0.688
Pd 0.750 0.345 0.312
Pd 0.250 0.264 0.491
Pd 0.750 0.736 0.509
Pd 0.250 0.848 0.282
Pd 0.750 0.152 0.718
Pd 0.250 0.067 0.881
Pd 0.750 0.933 0.119

Results
* formation energy from the elements: -409 meV per atom
* electronic total energy: -4.376 eV/atom
* ρ: 11.28 g/cm³
* D(E_F): 0.38 states/eV/atom
* total magnetization: 0.00 μB per cell
* excess energy over the best structure of this formula in the dataset: 0 meV per atom
* space group: No. 11

2.
TaAl2Ge: relaxed, PBE.

a = 7.392 Å, b = 7.392 Å, c = 5.855 Å
α = 50.86°, β = 50.86°, γ = 90.00°
Element x y z (fractional)
Ge 0.500 0.500 0.000
Ge 0.250 0.750 0.500
Al 0.600 0.125 0.250
Al 0.150 0.625 0.250
Al 0.375 0.400 0.750
Al 0.875 0.850 0.750
Ta 0.000 0.000 0.000
Ta 0.750 0.250 0.500

Results
* formation energy from the elements: 360 meV per atom
* electronic total energy: -5.629 eV/atom
* ρ: 7.08 g/cm³
* D(E_F): 0.85 states/eV/atom
* total magnetization: 0.00 μB per cell
* space group: No. 122

3.
PuMnI6: relaxed, PBE.

a = 7.966 Å, b = 7.966 Å, c = 7.237 Å
α = 99.88°, β = 99.88°, γ = 108.79°
Site moments in Bohr magnetons follow the coordinates.
Element x y z (fractional)
Pu 0.000 0.000 0.500  4.89
Mn 0.000 0.000 0.000  4.12
I 0.286 0.975 0.280  -0.05
I 0.975 0.286 0.280  -0.05
I 0.025 0.714 0.720  -0.05
I 0.714 0.025 0.720  -0.05
I 0.263 0.263 0.867  -0.05
I 0.737 0.737 0.133  -0.05

Results
* electronic total energy: -4.802 eV/atom
* ρ: 4.24 g/cm³
* D(E_F): 1.50 states/eV/atom
* total magnetization: 9.00 μB per cell
* excess energy over the best structure of this formula in the dataset: 0 meV per atom
* space group: No. 12

4.
SrLi4Lu: relaxed, PBE.

a = 6.114 Å, b = 6.114 Å, c = 6.114 Å
α = 60.00°, β = 60.00°, γ = 60.00°
Element x y z (fractional)
Sr 0.250 0.250 0.250
Lu 0.000 0.000 0.000
Li 0.627 0.627 0.119
Li 0.627 0.119 0.627
Li 0.627 0.627 0.627
Li 0.119 0.627 0.627

Results
* formation energy from the elements: 131 meV per atom
* electronic total energy: -2.178 eV/atom
* ρ: 2.98 g/cm³
* D(E_F): 1.32 states/eV/atom
* total magnetization: 0.00 μB per cell
* space group: No. 216

5.
BaCu3Cl8: relaxed, PBE.

a = 6.278 Å, b = 6.278 Å, c = 8.480 Å
α = 90.00°, β = 90.00°, γ = 120.00°
Site moments in Bohr magnetons follow the coordinates.
Element x y z (fractional)
Ba 0.000 0.000 0.500  0.00
Cu 0.667 0.333 0.771  0.05
Cu 0.333 0.667 0.229  0.05
Cu 0.000 0.000 0.000  0.12
Cl 0.698 0.999 0.172  0.03
Cl 0.301 0.302 0.172  0.03
Cl 0.001 0.699 0.172  0.03
Cl 0.302 0.001 0.828  0.03
Cl 0.699 0.698 0.828  0.03
Cl 0.999 0.301 0.828  0.03
Cl 0.667 0.333 0.504  0.01
Cl 0.333 0.667 0.496  0.01

Results
* electronic total energy: -3.349 eV/atom
* ρ: 3.51 g/cm³
* D(E_F): 0.86 states/eV/atom
* total magnetization: 0.43 μB per cell
* space group: No. 147

6.
HoErPa2Rh4: relaxed, PBE.

a = 5.641 Å, b = 5.641 Å, c = 6.832 Å
α = 116.52°, β = 116.52°, γ = 85.33°
Element x y z (fractional)
Ho 0.931 0.931 0.000
Er 0.515 0.515 0.000
Pa 0.159 0.659 0.500
Pa 0.659 0.159 0.500
Rh 0.021 0.413 0.000
Rh 0.413 0.021 0.000
Rh 0.164 0.164 0.528
Rh 0.636 0.636 0.472

Results
* formation energy from the elements: -730 meV per atom
* electronic total energy: -7.923 eV/atom
* ρ: 11.63 g/cm³
* D(E_F): 0.97 states/eV/atom
* total magnetization: 0.00 μB per cell
* space group: No. 42

7.
ErTmHgRh: relaxed, PBE.

a = 4.994 Å, b = 4.994 Å, c = 4.994 Å
α = 60.00°, β = 60.00°, γ = 60.00°
Element x y z (fractional)
Tm 0.250 0.250 0.250
Rh 0.000 0.000 0.000
Hg 0.500 0.500 0.500
Er 0.750 0.750 0.750

Results
* formation energy from the elements: -644 meV per atom
* electronic total energy: -4.816 eV/atom
* ρ: 12.06 g/cm³
* D(E_F): 0.58 states/eV/atom
* total magnetization: 0.00 μB per cell
* excess energy over the best structure of this formula in the dataset: 89 meV per atom
* space group: No. 216

8.
CrSi2Ag: relaxed, PBE.

a = 7.029 Å, b = 7.029 Å, c = 5.656 Å
α = 51.58°, β = 51.58°, γ = 90.00°
Site moments in Bohr magnetons follow the coordinates.
Element x y z (fractional)
Cr 0.500 0.500 0.000  3.04
Cr 0.250 0.750 0.500  3.03
Si 0.620 0.125 0.250  -0.04
Si 0.130 0.625 0.250  -0.04
Si 0.375 0.380 0.750  -0.04
Si 0.875 0.870 0.750  -0.04
Ag 0.000 0.000 0.000  0.03
Ag 0.750 0.250 0.500  0.03

Results
* electronic total energy: -5.250 eV/atom
* ρ: 5.38 g/cm³
* D(E_F): 0.59 states/eV/atom
* total magnetization: 6.34 μB per cell
* excess energy over the best structure of this formula in the dataset: 432 meV per atom
* space group: No. 122

9.
SrTa2P: relaxed, PBE.

a = 3.089 Å, b = 3.089 Å, c = 9.053 Å
α = 90.00°, β = 90.00°, γ = 105.14°
Element x y z (fractional)
Sr 0.500 0.500 0.000
Ta 0.000 0.000 0.322
Ta 0.000 0.000 0.678
P 0.500 0.500 0.500

Results
* formation energy from the elements: 294 meV per atom
* electronic total energy: -7.405 eV/atom
* ρ: 9.57 g/cm³
* D(E_F): 0.99 states/eV/atom
* total magnetization: 0.00 μB per cell
* space group: No. 65